Entry 1:
19
Lattice="-3.272 -0.251 7.087 -3.750 -6.831 -0.519 5.135 -4.606 3.662" Properties=species:S:1:pos:R:3 comment="Hf15In2Pb2 (PBE, relaxed)" e_form_ev_per_atom=0.38 dft_energy_ev_per_atom=-8.152 pbc="T T T"
Hf -1.875 -3.416 -0.259
Hf 2.567 -2.303 1.831
Hf -1.636 -0.126 3.544
Hf 2.600 -3.293 4.695
Hf -3.416 -2.235 4.794
Hf -1.071 -6.161 0.742
Hf -3.606 -4.848 1.774
Hf 2.456 -5.277 2.402
Hf -0.738 -1.564 6.055
Hf -2.471 -7.519 3.495
Hf 1.748 -6.462 5.481
Hf -2.244 -4.394 7.107
Hf 0.584 -4.170 6.736
Hf -3.636 -5.227 4.750
Hf 0.357 -7.295 3.124
In -1.706 -10.563 9.245
In -0.182 -1.126 0.986
Pb -1.284 -7.953 6.961
Pb -0.603 -3.736 3.270

=====

Entry 2:
11
Lattice="-2.502 2.035 4.293 -1.275 -7.693 0.757 7.253 2.873 0.721" Properties=species:S:1:pos:R:3 comment="Hf8In2Pb (PBE, relaxed)" e_form_ev_per_atom=0.13 dft_energy_ev_per_atom=-7.943 pbc="T T T"
Hf 1.678 -3.287 4.777
Hf 3.583 -0.927 4.769
Hf 2.744 -2.207 2.130
Hf -0.634 -4.331 2.896
Hf 4.109 1.546 2.875
Hf 0.732 -0.578 3.642
Hf -0.108 -1.859 1.003
Hf 1.798 0.502 0.994
In 4.647 -0.355 0.732
In 1.330 -4.465 0.746
Pb -1.251 1.017 2.147

=====

Entry 3:
10
Lattice="7.520 0.000 0.000 0.000 7.520 0.000 0.000 0.000 4.377" Properties=species:S:1:pos:R:3 comment="Hf2In2Pb (PBE, relaxed)" e_form_ev_per_atom=0.05 polymorph_energy_ev_per_atom=0.000 dft_energy_ev_per_atom=-5.765 pbc="T T T"
Pb 0.000 0.000 0.000
Pb 3.760 3.760 0.000
Hf 2.655 6.415 0.000
Hf 6.415 4.865 0.000
Hf 4.865 1.105 0.000
Hf 1.105 2.655 0.000
In 1.141 4.901 2.189
In 4.901 6.379 2.189
In 6.379 2.619 2.189
In 2.619 1.141 2.189

=====

Entry 4:
4
Lattice="-1.971 2.352 -1.112 -2.457 -0.746 -2.014 -8.725 -1.077 8.398" Properties=species:S:1:pos:R:3 comment="HfIn2Pb (PBE, relaxed)" e_form_ev_per_atom=0.31 dft_energy_ev_per_atom=-4.470 pbc="T T T"
Pb -6.577 0.264 2.636
Hf 0.000 0.000 0.000
In -6.932 -0.678 6.064
In -6.221 1.207 -0.791